Computed, not measured: an optimized crystal structure of ZrAsPt3 at the PBEsol level of DFT.

The structure in CIF format:
```
data_ZrAsPt3
_symmetry_space_group_name_H-M 'P 1'
_symmetry_Int_Tables_number 1
_symmetry_space_group_name_Hall 'P 1'
_cell_length_a 4.601
_cell_length_b 4.601
_cell_length_c 4.601
_cell_angle_alpha 90.00
_cell_angle_beta 90.00
_cell_angle_gamma 90.00
loop_
_atom_site_label
_atom_site_type_symbol
_atom_site_fract_x
_atom_site_fract_y
_atom_site_fract_z
As1 As 0.000 0.000 0.000
Zr1 Zr 0.500 0.500 0.500
Pt1 Pt 0.000 0.500 0.000
Pt2 Pt 0.000 0.000 0.500
Pt3 Pt 0.500 0.000 0.000
```

* total DFT energy (no corrections): -6.8673 eV per atom



Computed, not measured: an optimized crystal structure of Zr2AsPt at the PBEsol level of DFT.

The structure in CIF format:
```
data_Zr2AsPt
_symmetry_space_group_name_H-M 'P 1'
_symmetry_Int_Tables_number 1
_symmetry_space_group_name_Hall 'P 1'
_cell_length_a 4.671
_cell_length_b 4.671
_cell_length_c 4.671
_cell_angle_alpha 60.00
_cell_angle_beta 60.00
_cell_angle_gamma 60.00
loop_
_atom_site_label
_atom_site_type_symbol
_atom_site_fract_x
_atom_site_fract_y
_atom_site_fract_z
As1 As 0.500 0.500 0.500
Zr1 Zr 0.000 0.000 0.000
Zr2 Zr 0.250 0.250 0.250
Pt1 Pt 0.750 0.750 0.750
```

* total DFT energy (no corrections): -7.7761 eV per atom



Computed, not measured: an optimized crystal structure of Zr2AsPt at the PBEsol level of DFT.

The structure in CIF format:
```
data_Zr2AsPt
_symmetry_space_group_name_H-M 'P 1'
_symmetry_Int_Tables_number 1
_symmetry_space_group_name_Hall 'P 1'
_cell_length_a 4.373
_cell_length_b 4.884
_cell_length_c 4.373
_cell_angle_alpha 63.40
_cell_angle_beta 90.00
_cell_angle_gamma 116.60
loop_
_atom_site_label
_atom_site_type_symbol
_atom_site_fract_x
_atom_site_fract_y
_atom_site_fract_z
As1 As 0.500 0.000 0.500
Zr1 Zr 0.250 0.500 0.250
Zr2 Zr 0.750 0.500 0.750
Pt1 Pt 0.000 0.000 0.000
```

* total DFT energy (no corrections): -8.3983 eV per atom



Computed, not measured: an optimized crystal structure of Zr2AsPt at the PBEsol level of DFT.

The structure in CIF format:
```
data_Zr2AsPt
_symmetry_space_group_name_H-M 'P 1'
_symmetry_Int_Tables_number 1
_symmetry_space_group_name_Hall 'P 1'
_cell_length_a 3.470
_cell_length_b 3.470
_cell_length_c 6.036
_cell_angle_alpha 90.00
_cell_angle_beta 90.00
_cell_angle_gamma 90.00
loop_
_atom_site_label
_atom_site_type_symbol
_atom_site_fract_x
_atom_site_fract_y
_atom_site_fract_z
As1 As 0.500 0.500 0.000
Zr1 Zr 0.000 0.000 0.751
Zr2 Zr 0.000 0.000 0.249
Pt1 Pt 0.500 0.500 0.500
```

* total DFT energy (no corrections): -8.4270 eV per atom



Computed, not measured: an optimized crystal structure of Zr2AsPt at the PBEsol level of DFT.

The structure in CIF format:
```
data_Zr2AsPt
_symmetry_space_group_name_H-M 'P 1'
_symmetry_Int_Tables_number 1
_symmetry_space_group_name_Hall 'P 1'
_cell_length_a 3.730
_cell_length_b 3.730
_cell_length_c 6.980
_cell_angle_alpha 74.49
_cell_angle_beta 74.49
_cell_angle_gamma 59.98
loop_
_atom_site_label
_atom_site_type_symbol
_atom_site_fract_x
_atom_site_fract_y
_atom_site_fract_z
As1 As 0.000 0.000 0.000
Zr1 Zr 0.750 0.750 0.749
Zr2 Zr 0.250 0.250 0.251
Pt1 Pt 0.500 0.500 0.500
```

* total DFT energy (no corrections): -8.5006 eV per atom



Computed, not measured: an optimized crystal structure of Zr2AsPt at the PBEsol level of DFT.

The structure in CIF format:
```
data_Zr2AsPt
_symmetry_space_group_name_H-M 'P 1'
_symmetry_Int_Tables_number 1
_symmetry_space_group_name_Hall 'P 1'
_cell_length_a 4.068
_cell_length_b 4.879
_cell_length_c 4.879
_cell_angle_alpha 59.79
_cell_angle_beta 65.37
_cell_angle_gamma 65.37
loop_
_atom_site_label
_atom_site_type_symbol
_atom_site_fract_x
_atom_site_fract_y
_atom_site_fract_z
As1 As 0.500 0.000 0.000
Zr1 Zr 0.245 0.755 0.755
Zr2 Zr 0.755 0.245 0.245
Pt1 Pt 0.000 0.500 0.500
```

* total DFT energy (no corrections): -8.4174 eV per atom